[1]
The following is a DFT calculation (GGA-PBE) of a geometry-optimized BC5 structure.

Cell lengths 5.7156, 5.7156, 3.7025 Å; angles 90.00, 90.00, 143.31 degrees
Last column: nearest neighbours and their distance in Å.
Fractional positions:
B 0.1685 0.8315 0.0000  4 C 1.61-1.62
B 0.8315 0.1685 0.0000  4 C 1.61-1.62
C 0.0000 0.0000 0.5000  4 C 1.56
C 0.0000 0.5000 0.2693  2 C 1.54, 2 B 1.61
C 0.1736 0.3359 0.7442  3 C 1.56-1.57, 1 B 1.62
C 0.3338 0.6662 0.5000  4 C 1.54-1.56
C 0.3359 0.1736 0.2558  3 C 1.56-1.57, 1 B 1.62
C 0.5000 0.0000 0.7307  2 C 1.54, 2 B 1.61
C 0.5000 0.5000 0.0000  4 C 1.57
C 0.6641 0.8264 0.2558  3 C 1.56-1.57, 1 B 1.62
C 0.6662 0.3338 0.5000  4 C 1.54-1.56
C 0.8264 0.6641 0.7442  3 C 1.56-1.57, 1 B 1.62

Values from the calculation:
Crystal system = orthorhombic
Space group = C222 (21)
Polymorph energy (0 for the lowest one) = 78 meV per atom
Volume = 36.1 Å³/f.u.
Electronic total energy = -102.15 eV/cell


[2]
The following is a DFT calculation (GGA-PBE) of a geometry-optimized TaBe3Se structure.

Cell lengths 4.1913, 4.1913, 4.1913 Å; angles 90.00, 90.00, 90.00 degrees
Last column: nearest neighbours and their distance in Å.
Fractional positions:
Ta 0.0000 0.0000 0.0000  12 Be 2.96
Be 0.0000 0.5000 0.5000  2 Se 2.10
Be 0.5000 0.0000 0.5000  2 Se 2.10
Be 0.5000 0.5000 0.0000  2 Se 2.10
Se 0.5000 0.5000 0.5000  6 Be 2.10

Values from the calculation:
Uncorrected formation energy = 5.94 eV per formula unit
Crystal system = cubic
Space group = Pm-3m (221)
Polymorph energy (0 for the lowest one) = 0 meV per atom
Volume = 73.6 Å³/f.u.
Electronic total energy = -20.58 eV/cell


[3]
The following is a DFT calculation (GGA-PBE) of a geometry-optimized Tl2OsI structure.

Cell lengths 8.7224, 8.7224, 8.7224 Å; angles 136.04, 136.04, 63.92 degrees
Last column: nearest neighbours and their distance in Å.
Fractional positions:
Tl 0.0153 0.6250 0.8903  2 Os 2.63
Tl 0.3750 0.2653 0.3903  2 Os 2.63
Tl 0.7347 0.1250 0.1097  2 Os 2.63
Tl 0.8750 0.9847 0.6097  2 Os 2.63
Os 0.0000 0.0000 0.0000  4 Tl 2.63
Os 0.7500 0.2500 0.5000  4 Tl 2.63
I 0.2500 0.7500 0.5000  4 Tl 3.41
I 0.5000 0.5000 0.0000  4 Tl 3.41

Values from the calculation:
Uncorrected formation energy = 3.67 eV per formula unit
Crystal system = tetragonal
Space group = I-42d (122)
Polymorph energy (0 for the lowest one) = 0 meV per atom
Volume = 157.8 Å³/f.u.
Electronic total energy = -27.68 eV/cell


[4]
The following is a DFT calculation (GGA-PBE) of a geometry-optimized Cd3HgBr structure.

Cell lengths 6.1571, 6.1571, 6.1571 Å; angles 90.00, 90.00, 90.00 degrees
Last column: nearest neighbours and their distance in Å.
Fractional positions:
Cd 0.0000 0.0000 0.5000  2 Br 3.08
Cd 0.0000 0.5000 0.0000  2 Br 3.08
Cd 0.5000 0.0000 0.0000  2 Br 3.08
Hg 0.5000 0.5000 0.5000  12 Cd 4.35
Br 0.0000 0.0000 0.0000  6 Cd 3.08

Values from the calculation:
Uncorrected formation energy = 1.58 eV per formula unit
Crystal system = cubic
Space group = Pm-3m (221)
Polymorph energy (0 for the lowest one) = 334 meV per atom
Volume = 233.4 Å³/f.u.
Electronic total energy = -3.15 eV/cell


[5]
The following is a DFT calculation (GGA-PBE) of a geometry-optimized HfZrC structure.

Cell lengths 3.3088, 3.3088, 5.3945 Å; angles 90.00, 90.00, 120.00 degrees
Last column: nearest neighbours and their distance in Å.
Fractional positions:
Hf 0.0000 0.0000 0.0000  3 C 2.27
Zr 0.6667 0.3333 0.5300  3 C 2.31
C 0.3333 0.6667 0.7721  3 Hf 2.27, 3 Zr 2.31

Values from the calculation:
Crystal system = trigonal
Space group = P3m1 (156)
Polymorph energy (0 for the lowest one) = 31 meV per atom
Volume = 51.1 Å³/f.u.
Electronic total energy = -29.53 eV/cell


[6]
The following is a DFT calculation (GGA-PBE) of a geometry-optimized Pr5Y3Cd2 structure.

Cell lengths 12.3853, 12.3853, 12.3853 Å; angles 140.90, 52.08, 146.98 degrees
Last column: nearest neighbours and their distance in Å.
Fractional positions:
Pr 0.0865 0.7500 0.3365  2 Cd 3.35, 3 Y 3.36-3.64, 6 Pr 3.46-3.52
Pr 0.2175 0.1652 0.3827  1 Cd 3.18, 4 Pr 3.46-3.50
Pr 0.2500 0.2500 0.0000  4 Cd 3.19, 4 Y 3.50, 2 Pr 3.52
Pr 0.2825 0.6652 0.9477  1 Cd 3.18, 4 Pr 3.46-3.50
Pr 0.4135 0.7500 0.6635  2 Cd 3.35, 3 Y 3.36-3.64, 6 Pr 3.46-3.52
Pr 0.5865 0.2500 0.3365  2 Cd 3.35, 3 Y 3.36-3.64, 6 Pr 3.46-3.52
Pr 0.7175 0.3348 0.0523  1 Cd 3.18, 4 Pr 3.46-3.50
Pr 0.7500 0.7500 0.0000  4 Cd 3.19, 4 Y 3.50, 2 Pr 3.52
Pr 0.7825 0.8348 0.6173  1 Cd 3.18, 4 Pr 3.46-3.50
Pr 0.9135 0.2500 0.6635  2 Cd 3.35, 3 Y 3.36-3.64, 6 Pr 3.46-3.52
Y 0.1189 0.8239 0.9428  5 Pr 3.36-3.58, 3 Cd 3.61-3.68
Y 0.2500 0.7500 0.5000  4 Cd 3.25, 2 Y 3.52
Y 0.3811 0.3239 0.7051  5 Pr 3.36-3.58, 3 Cd 3.61-3.68
Y 0.6189 0.6761 0.2949  5 Pr 3.36-3.58, 3 Cd 3.61-3.68
Y 0.7500 0.2500 0.5000  4 Cd 3.25, 2 Y 3.52
Y 0.8811 0.1761 0.0572  5 Pr 3.36-3.58, 3 Cd 3.61-3.68
Cd 0.0776 0.2451 0.3227  5 Pr 3.18-3.35, 2 Y 3.25
Cd 0.4224 0.7451 0.1674  5 Pr 3.18-3.35, 2 Y 3.25
Cd 0.5776 0.2549 0.8326  5 Pr 3.18-3.35, 2 Y 3.25
Cd 0.9224 0.7549 0.6773  5 Pr 3.18-3.35, 2 Y 3.25

Values from the calculation:
Crystal system = orthorhombic
Space group = Ibam (72)
Volume = 324.6 Å³/f.u.
Electronic total energy = -90.23 eV/cell